Record 1
Below is crystalline Nd4ZnGa3 at its relaxed geometry, with properties calculated at the PBE-GGA level.

The structure in POSCAR format:
```
Nd4ZnGa3
1.0
10.455 0.000 0.000
0.000 7.404 0.000
0.000 0.000 5.228
Nd Zn Ga
8 2 6
Direct
0.000 0.248 0.000
0.000 0.752 0.000
0.250 0.248 0.499
0.250 0.752 0.499
0.500 0.248 0.000
0.500 0.752 0.000
0.750 0.248 0.501
0.750 0.752 0.501
0.000 0.000 0.500
0.500 0.000 0.500
0.000 0.500 0.500
0.250 0.000 0.999
0.250 0.500 0.998
0.500 0.500 0.500
0.750 0.000 0.001
0.750 0.500 0.002
```

Properties
The value obtained for the offset from the most stable computed form is 0 meV per atom. As for the symmetry: Pmma. As for the density of states at the Fermi level: 0.907 states/eV/atom. The energy of formation from the pure elements is -0.498 eV/atom.



Record 2
Below is crystalline Pm4Ge2As at its relaxed geometry, with properties calculated at the PBE-GGA level.

The structure in POSCAR format:
```
Pm4Ge2As
1.0
-4.533 4.533 4.523
4.533 -4.533 4.523
4.533 4.533 -4.523
Pm Ge As
8 4 2
Direct
0.124 0.242 0.748
0.126 0.744 0.752
0.256 0.008 0.382
0.494 0.376 0.252
0.624 0.876 0.118
0.626 0.874 0.618
0.758 0.506 0.882
0.992 0.374 0.248
0.249 0.625 0.124
0.375 0.499 0.624
0.501 0.125 0.876
0.875 0.751 0.376
0.000 0.000 0.000
0.750 0.250 0.500
```

Properties
As for the symmetry: I-42d. As for the density of states at the Fermi level: 0.791 states/eV/atom. The energy of formation from the pure elements is -0.984 eV/atom.



Record 3
Below is crystalline Pu2BeZnAu6 at its relaxed geometry, with properties calculated at the PBE-GGA level.

The structure in POSCAR format:
```
Pu2BeZnAu6
1.0
5.431 -3.140 0.000
5.431 3.140 0.000
-3.915 0.000 6.157
Pu Be Zn Au
2 1 1 6
Direct
0.203 0.203 0.151
0.797 0.797 0.849
0.000 0.000 0.500
0.500 0.500 0.000
0.244 0.244 0.638
0.267 0.732 0.708
0.268 0.733 0.292
0.732 0.267 0.708
0.733 0.268 0.292
0.756 0.756 0.362
```

Properties
As for the symmetry: C2/m. As for the density of states at the Fermi level: 3.024 states/eV/atom. The energy of formation from the pure elements is -0.243 eV/atom.